1.
The following is a DFT calculation (PBE) of a relaxed structure of MgZnBr2.

Output
**Relative energy among the computed polymorphs**: 511 meV/atom
**Spin magnetization**: 0.0 μB/f.u.
**Raw total energy**: -1.92 eV/atom

a b c (Å): 7.357 8.040 5.335
angles (deg): 90.00 131.13 90.00
Space group C2/m (No. 12)
Inequivalent atoms, fractional coordinates:
Mg  0.000  0.000  0.000 (multiplicity 2)
Zn  0.000  0.500  0.000 (multiplicity 2)
Br  0.250  0.250  0.500 (multiplicity 4)

2.
The following is a DFT calculation (PBE) of a relaxed structure of MgZnBr2.

Output
**Relative energy among the computed polymorphs**: 309 meV/atom
**Spin magnetization**: 0.0 μB/f.u.
**Raw total energy**: -2.12 eV/atom

a b c (Å): 3.442 3.442 9.745
angles (deg): 90.00 90.00 90.00
Space group P4/mmm (No. 123)
Inequivalent atoms, fractional coordinates:
Mg  0.000  0.000  0.000 (multiplicity 1)
Zn  0.000  0.000  0.500 (multiplicity 1)
Br  0.500  0.500  0.168 (multiplicity 2)